{
  "formula": "BiBP2Os",
  "functional": "PBE",
  "state": "optimized geometry",
  "energy_ev_per_atom": -5.308,
  "magmom_total_mub_per_fu": 0.000,
  "spacegroup": "P4/mmm",
  "e_form_ev_per_atom": 1.214,
  "lattice": [[-0.105, -1.805, 4.000], [0.267, -5.583, -2.512], [4.385, 0.131, 0.174]],
  "species": ["P", "P", "B", "Os", "Bi"],
  "fractional_positions": [[0.000, 0.000, 0.500], [0.500, 0.000, 0.000], [0.500, 0.500, 0.500], [0.000, 0.000, 0.000], [0.000, 0.500, 0.000]]
}

***

{
  "formula": "BiBOs2Pb",
  "functional": "PBE",
  "state": "optimized geometry",
  "energy_ev_per_atom": -4.834,
  "magmom_total_mub_per_fu": 2.355,
  "spacegroup": "P4/mmm",
  "e_form_ev_per_atom": 2.511,
  "lattice": [[5.148, 0.000, 0.000], [0.000, 4.549, 0.000], [0.000, 0.000, 5.148]],
  "species": ["Pb", "B", "Os", "Os", "Bi"],
  "fractional_positions": [[0.500, 0.500, 0.500], [0.000, 0.500, 0.000], [0.000, 0.000, 0.500], [0.500, 0.000, 0.000], [0.000, 0.000, 0.000]]
}

***

{
  "formula": "TaBiB2Os",
  "functional": "PBE",
  "state": "optimized geometry",
  "energy_ev_per_atom": -7.163,
  "magmom_total_mub_per_fu": 0.000,
  "spacegroup": "P4/mmm",
  "e_form_ev_per_atom": 0.901,
  "lattice": [[4.157, 0.000, 0.000], [0.000, 5.167, 0.000], [0.000, 0.000, 4.157]],
  "species": ["B", "B", "Os", "Bi", "Ta"],
  "fractional_positions": [[0.000, 0.000, 0.500], [0.500, 0.000, 0.000], [0.000, 0.000, 0.000], [0.500, 0.500, 0.500], [0.000, 0.500, 0.000]]
}

***

{
  "formula": "BiBP3",
  "functional": "PBE",
  "state": "optimized geometry",
  "energy_ev_per_atom": -3.065,
  "magmom_total_mub_per_fu": 1.100,
  "spacegroup": "Pm-3m",
  "e_form_ev_per_atom": 2.293,
  "relative_energy_ev_per_atom": 1.536,
  "lattice": [[-2.350, 3.327, -3.342], [-3.710, 1.001, 3.605], [2.911, 3.961, 1.896]],
  "species": ["P", "P", "P", "B", "Bi"],
  "fractional_positions": [[0.000, 0.500, 0.000], [0.000, 0.000, 0.500], [0.500, 0.000, 0.000], [0.500, 0.500, 0.500], [0.000, 0.000, 0.000]]
}

***

{
  "formula": "BiB3P",
  "functional": "PBE",
  "state": "optimized geometry",
  "energy_ev_per_atom": -4.520,
  "magmom_total_mub_per_fu": 0.000,
  "spacegroup": "Pm-3m",
  "e_form_ev_per_atom": 1.345,
  "relative_energy_ev_per_atom": 0.000,
  "lattice": [[-0.800, 0.846, 3.889], [3.152, -2.288, 1.146], [2.430, 3.245, -0.206]],
  "species": ["P", "B", "B", "B", "Bi"],
  "fractional_positions": [[0.000, 0.000, 0.000], [0.000, 0.500, 0.000], [0.000, 0.000, 0.500], [0.500, 0.000, 0.000], [0.500, 0.500, 0.500]]
}

***

{
  "formula": "BiB3P",
  "functional": "PBE",
  "state": "optimized geometry",
  "energy_ev_per_atom": -3.167,
  "magmom_total_mub_per_fu": 0.000,
  "spacegroup": "Pm-3m",
  "e_form_ev_per_atom": 2.698,
  "relative_energy_ev_per_atom": 1.353,
  "lattice": [[4.654, 0.000, 0.000], [0.000, 4.654, 0.000], [0.000, 0.000, 4.654]],
  "species": ["P", "B", "B", "B", "Bi"],
  "fractional_positions": [[0.500, 0.500, 0.500], [0.000, 0.500, 0.000], [0.000, 0.000, 0.500], [0.500, 0.000, 0.000], [0.000, 0.000, 0.000]]
}

***

{
  "formula": "Bi2BP",
  "functional": "PBE",
  "state": "optimized geometry",
  "energy_ev_per_atom": -4.208,
  "magmom_total_mub_per_fu": 0.000,
  "spacegroup": "I-42d",
  "e_form_ev_per_atom": 0.754,
  "relative_energy_ev_per_atom": 0.000,
  "lattice": [[6.345, 0.000, 0.000], [0.000, 6.345, 0.000], [3.172, 3.172, 5.314]],
  "species": ["P", "P", "B", "B", "Bi", "Bi", "Bi", "Bi"],
  "fractional_positions": [[0.000, 0.000, 0.000], [0.750, 0.250, 0.500], [0.500, 0.500, 0.000], [0.250, 0.750, 0.500], [0.575, 0.125, 0.250], [0.175, 0.625, 0.250], [0.375, 0.425, 0.750], [0.875, 0.825, 0.750]]
}

***

{
  "formula": "BiB2P",
  "functional": "PBE",
  "state": "optimized geometry",
  "energy_ev_per_atom": -3.935,
  "magmom_total_mub_per_fu": 0.000,
  "spacegroup": "Fm-3m",
  "e_form_ev_per_atom": 1.727,
  "relative_energy_ev_per_atom": 1.442,
  "lattice": [[3.440, -2.627, -0.737], [1.831, -2.204, 3.327], [-0.468, -4.357, 0.268]],
  "species": ["P", "B", "B", "Bi"],
  "fractional_positions": [[0.000, 0.000, 0.000], [0.250, 0.250, 0.250], [0.750, 0.750, 0.750], [0.500, 0.500, 0.500]]
}